Record 1
Here is a relaxed Sr2As4Ir3Pd crystal from Alexandria. Energies are from PBE-GGA.

* DFT total energy: -6.0007 eV per atom
* crystal system: tetragonal
* magnetization: 0.0 Bohr magnetons per cell
* formation energy: -6.27 eV per formula unit

Geometry as CIF:
```
data_Sr2As4Ir3Pd
_cell_length_a 4.443
_cell_length_b 4.443
_cell_length_c 9.909
_cell_angle_alpha 90.00
_cell_angle_beta 90.00
_cell_angle_gamma 90.00
_space_group_name_H-M_alt 'P 1'
_space_group_IT_number 1
_space_group_name_Hall 'P 1'
loop_
_atom_site_label
_atom_site_fract_x
_atom_site_fract_y
_atom_site_fract_z
Sr1 0.500 0.000 0.244
Sr2 0.000 0.500 0.756
As1 0.500 0.500 0.000
As2 0.000 0.000 0.000
As3 0.500 0.000 0.633
As4 0.000 0.500 0.367
Ir1 0.000 0.000 0.500
Ir2 0.500 0.000 0.883
Ir3 0.000 0.500 0.117
Pd1 0.500 0.500 0.500
```

=====

Record 2
Here is a relaxed RbNa3Cd2 crystal from Alexandria. Energies are from PBE-GGA.

* DFT total energy: -1.1665 eV per atom
* crystal system: orthorhombic
* magnetization: 0.0 Bohr magnetons per cell
* formation energy: -0.24 eV per formula unit

Geometry as CIF:
```
data_RbNa3Cd2
_cell_length_a 6.413
_cell_length_b 8.252
_cell_length_c 8.252
_cell_angle_alpha 83.88
_cell_angle_beta 90.00
_cell_angle_gamma 90.00
_space_group_name_H-M_alt 'P 1'
_space_group_IT_number 1
_space_group_name_Hall 'P 1'
loop_
_atom_site_label
_atom_site_fract_x
_atom_site_fract_y
_atom_site_fract_z
Rb1 0.750 0.631 0.369
Rb2 0.250 0.369 0.631
Na1 0.250 0.565 0.074
Na2 0.250 0.926 0.435
Na3 0.750 0.435 0.926
Na4 0.250 0.018 0.982
Na5 0.750 0.982 0.018
Na6 0.750 0.074 0.565
Cd1 0.500 0.234 0.234
Cd2 0.000 0.234 0.234
Cd3 0.000 0.766 0.766
Cd4 0.500 0.766 0.766
```

=====

> Which formula does entry 1 have?

Sr2As4Ir3Pd

=====

Please write out number 2 again, unchanged.
Here is a relaxed RbNa3Cd2 crystal from Alexandria. Energies are from PBE-GGA.

* DFT total energy: -1.1665 eV per atom
* crystal system: orthorhombic
* magnetization: 0.0 Bohr magnetons per cell
* formation energy: -0.24 eV per formula unit

Geometry as CIF:
```
data_RbNa3Cd2
_cell_length_a 6.413
_cell_length_b 8.252
_cell_length_c 8.252
_cell_angle_alpha 83.88
_cell_angle_beta 90.00
_cell_angle_gamma 90.00
_space_group_name_H-M_alt 'P 1'
_space_group_IT_number 1
_space_group_name_Hall 'P 1'
loop_
_atom_site_label
_atom_site_fract_x
_atom_site_fract_y
_atom_site_fract_z
Rb1 0.750 0.631 0.369
Rb2 0.250 0.369 0.631
Na1 0.250 0.565 0.074
Na2 0.250 0.926 0.435
Na3 0.750 0.435 0.926
Na4 0.250 0.018 0.982
Na5 0.750 0.982 0.018
Na6 0.750 0.074 0.565
Cd1 0.500 0.234 0.234
Cd2 0.000 0.234 0.234
Cd3 0.000 0.766 0.766
Cd4 0.500 0.766 0.766
```